1.
Compound: Na3Pm2MnO6
Source: Alexandria via LeMat-Bulk
Functional: PBE+U
Structure: optimized geometry

As for the symmetry: No. 12.

Unit cell a=5.8916 b=5.8916 c=5.9760 alpha=99.63 beta=99.63 gamma=119.07
Fractional coordinates of all 12 atoms:
Na 0.0000 0.0000 0.0000
Na 0.3570 0.6430 0.0000
Na 0.6430 0.3570 0.0000
Pm 0.1646 0.8354 0.5000
Pm 0.8354 0.1646 0.5000
Mn 0.5000 0.5000 0.5000
O 0.1452 0.4356 0.3032
O 0.2310 0.2310 0.7322
O 0.4356 0.1452 0.3032
O 0.5644 0.8548 0.6968
O 0.7690 0.7690 0.2678
O 0.8548 0.5644 0.6968

---

2.
Compound: TmCr2GaO6
Source: Alexandria via LeMat-Bulk
Functional: PBE+U
Structure: optimized geometry

As for the symmetry: No. 146. Its density of states at the Fermi level is 0.000 states/eV/cell.

Unit cell a=5.5359 b=5.5359 c=5.5359 alpha=56.49 beta=56.49 gamma=56.49
Fractional coordinates of all 10 atoms:
Tm 0.0000 0.0000 0.0000
Cr 0.2829 0.2829 0.2829
Cr 0.7864 0.7864 0.7864
Ga 0.4883 0.4883 0.4883
O 0.0777 0.6492 0.4232
O 0.1855 0.5643 0.8854
O 0.4232 0.0777 0.6492
O 0.5643 0.8854 0.1855
O 0.6492 0.4232 0.0777
O 0.8854 0.1855 0.5643

---

Number 1: total energy -0.4767 Ry per atom, total moment 4.00 μB/cell. Number 2: total energy -0.5540 Ry per atom, total moment 6.00 μB/cell.